1.
{"formula": "TlPRh2", "functional": "PBE", "state": "optimized geometry", "formation_enthalpy_0k_kj_per_mol_fu": 57.3, "energy_ev_per_atom": -5.471, "total_magnetization_mub_per_fu": 0.00, "lattice": [[3.065, -3.369, 0.000], [3.065, 3.369, 0.000], [0.000, 0.000, 3.123]], "species": ["Rh", "Rh", "Tl", "P"], "fractional_positions": [[0.000, 0.500, 0.000], [0.500, 0.000, 0.000], [0.500, 0.500, 0.500], [0.000, 0.000, 0.500]]}

***

2.
{"formula": "CaZrPF2", "functional": "PBE", "state": "optimized geometry", "energy_ev_per_atom": -4.061, "total_magnetization_mub_per_fu": 2.08, "lattice": [[4.404, 0.000, 0.000], [0.000, 5.598, 0.000], [0.000, 0.000, 4.404]], "species": ["P", "Zr", "F", "F", "Ca"], "fractional_positions": [[0.000, 0.000, 0.000], [0.500, 0.500, 0.500], [0.500, 0.000, 0.000], [0.000, 0.000, 0.500], [0.000, 0.500, 0.000]]}

***

3.
{"formula": "CaHgPt2", "functional": "PBE", "state": "optimized geometry", "formation_enthalpy_0k_kj_per_mol_fu": -138.7, "energy_ev_per_atom": -3.955, "total_magnetization_mub_per_fu": 0.00, "lattice": [[3.142, -0.004, 0.000], [0.004, 3.142, 0.000], [0.000, 0.000, 7.864]], "species": ["Hg", "Ca", "Pt", "Pt"], "fractional_positions": [[0.500, 0.500, 0.750], [0.500, 0.500, 0.250], [0.000, 0.000, 0.990], [0.000, 0.000, 0.510]]}

***

4.
{"formula": "Ca2CdI", "functional": "PBE", "state": "optimized geometry", "energy_ev_per_atom": -2.248, "total_magnetization_mub_per_fu": 0.00, "de_polymorph_ev_per_atom": 0.0361, "lattice": [[3.846, 0.000, 0.000], [0.000, 3.846, 0.000], [0.000, 0.000, 8.605]], "species": ["Ca", "Ca", "I", "Cd"], "fractional_positions": [[0.000, 0.000, 0.223], [0.000, 0.000, 0.777], [0.500, 0.500, 0.500], [0.500, 0.500, 0.000]]}

***

5.
{"formula": "SmPu2TeO4", "functional": "PBE", "state": "optimized geometry", "energy_ev_per_atom": -9.878, "total_magnetization_mub_per_fu": 9.00, "lattice": [[-0.889, -1.927, -3.323], [3.610, -1.584, -0.048], [-3.029, -7.051, 4.899]], "species": ["Sm", "Te", "O", "O", "O", "O", "Pu", "Pu"], "fractional_positions": [[0.000, 0.000, 0.000], [0.000, 0.000, 0.500], [0.500, 0.000, 0.842], [0.000, 0.500, 0.158], [0.500, 0.000, 0.158], [0.000, 0.500, 0.842], [0.500, 0.500, 0.273], [0.500, 0.500, 0.727]]}

***

6.
{"formula": "TbEr5In", "functional": "PBE", "state": "optimized geometry", "formation_enthalpy_0k_kj_per_mol_fu": 492.9, "energy_ev_per_atom": -3.582, "total_magnetization_mub_per_fu": 0.00, "lattice": [[6.125, 0.000, 0.000], [0.000, 7.918, 0.000], [-3.063, -3.959, 5.717]], "species": ["In", "Tb", "Er", "Er", "Er", "Er", "Er"], "fractional_positions": [[0.562, 0.500, 0.000], [0.829, 0.000, 0.000], [0.476, 0.253, 0.505], [0.328, 0.185, 0.000], [0.037, 0.500, 0.000], [0.971, 0.747, 0.495], [0.328, 0.815, 0.000]]}

***

7.
{"formula": "CuPAu3", "functional": "PBE", "state": "optimized geometry", "formation_enthalpy_0k_kj_per_mol_fu": 223.3, "energy_ev_per_atom": -3.405, "total_magnetization_mub_per_fu": 0.00, "de_polymorph_ev_per_atom": 0.0000, "lattice": [[4.701, 0.000, 0.000], [0.000, 4.701, 0.000], [0.000, 0.000, 4.701]], "species": ["Au", "Au", "Au", "P", "Cu"], "fractional_positions": [[0.000, 0.500, 0.000], [0.500, 0.000, 0.000], [0.000, 0.000, 0.500], [0.000, 0.000, 0.000], [0.500, 0.500, 0.500]]}

***

8.
{"formula": "Be2AlAs", "functional": "PBE", "state": "optimized geometry", "formation_enthalpy_0k_kj_per_mol_fu": 132.8, "energy_ev_per_atom": -3.617, "total_magnetization_mub_per_fu": 0.00, "de_polymorph_ev_per_atom": 0.1253, "lattice": [[3.326, 0.000, 0.000], [0.000, 3.326, 0.000], [0.000, 0.000, 4.821]], "species": ["Be", "Be", "Al", "As"], "fractional_positions": [[0.000, 0.000, 0.996], [0.500, 0.500, 0.248], [0.000, 0.000, 0.481], [0.500, 0.500, 0.774]]}

***

9.
{"formula": "AgIr5", "functional": "PBE", "state": "optimized geometry", "formation_enthalpy_0k_kj_per_mol_fu": 140.8, "energy_ev_per_atom": -7.616, "total_magnetization_mub_per_fu": 0.00, "lattice": [[1.377, 5.124, 0.011], [-1.377, 5.124, 0.011], [0.000, 1.722, 6.398]], "species": ["Ir", "Ir", "Ir", "Ir", "Ir", "Ag"], "fractional_positions": [[0.674, 0.674, 0.659], [0.269, 0.269, 0.942], [0.945, 0.945, 0.606], [0.332, 0.332, 0.341], [0.618, 0.618, 0.285], [0.995, 0.995, 0.000]]}

***

10.
{"formula": "Ce2PaPdS6", "functional": "PBE", "state": "optimized geometry", "energy_ev_per_atom": -6.373, "total_magnetization_mub_per_fu": 1.02, "lattice": [[6.638, 0.000, 0.000], [0.000, 6.184, 0.000], [0.000, 0.000, 6.184]], "species": ["S", "S", "S", "S", "S", "S", "Ce", "Ce", "Pa", "Pd"], "fractional_positions": [[0.159, 0.000, 0.000], [0.749, 0.239, 0.761], [0.749, 0.761, 0.761], [0.749, 0.239, 0.239], [0.174, 0.500, 0.500], [0.749, 0.761, 0.239], [0.011, 0.000, 0.500], [0.011, 0.500, 0.000], [0.583, 0.500, 0.500], [0.511, 0.000, 0.000]]}

***

11.
{"formula": "SrBr4", "functional": "PBE", "state": "optimized geometry", "energy_ev_per_atom": -2.606, "total_magnetization_mub_per_fu": 1.10, "lattice": [[-3.603, 3.603, 3.603], [3.603, -3.603, 3.603], [3.603, 3.603, -3.603]], "species": ["Br", "Br", "Br", "Br", "Sr"], "fractional_positions": [[0.500, 0.500, 0.500], [0.500, 0.000, 0.000], [0.000, 0.500, 0.000], [0.000, 0.000, 0.500], [0.000, 0.000, 0.000]]}

***

12.
{"formula": "NdY3Hg6", "functional": "PBE", "state": "optimized geometry", "formation_enthalpy_0k_kj_per_mol_fu": -432.8, "energy_ev_per_atom": -3.046, "total_magnetization_mub_per_fu": 0.00, "lattice": [[-4.529, 2.435, -0.790], [2.625, 2.091, -8.602], [-5.250, -9.921, -0.489]], "species": ["Hg", "Hg", "Hg", "Hg", "Hg", "Hg", "Hg", "Hg", "Hg", "Hg", "Hg", "Hg", "Y", "Y", "Y", "Y", "Y", "Y", "Nd", "Nd"], "fractional_positions": [[0.250, 0.064, 0.906], [0.250, 0.643, 0.707], [0.750, 0.859, 0.795], [0.750, 0.357, 0.293], [0.750, 0.535, 0.907], [0.250, 0.829, 0.309], [0.750, 0.171, 0.691], [0.250, 0.252, 0.518], [0.250, 0.465, 0.093], [0.750, 0.936, 0.094], [0.250, 0.141, 0.205], [0.750, 0.748, 0.482], [0.250, 0.352, 0.804], [0.250, 0.513, 0.387], [0.750, 0.648, 0.196], [0.750, 0.487, 0.613], [0.750, 0.230, 0.006], [0.250, 0.770, 0.994], [0.750, 0.066, 0.385], [0.250, 0.934, 0.615]]}